Record 1
CaZnHPd2: optimized geometry, PBE.

Properties
Its polymorph energy (0 for the lowest one) is 284 meV per atom. The value obtained for the density of states at the Fermi level is 1.3 states/eV per cell.

abc: 4.2229 4.2229 4.1422
angles: 90.00 90.00 90.00
Last column: nearest neighbours and their distance in Å.
Space group P4/mmm (No. 123)
Inequivalent atoms, fractional coordinates:
1 Ca 0.0000 0.0000 0.0000 (multiplicity 1)  8 Pd 2.96, 4 Zn 2.99
2 Zn 0.5000 0.5000 0.0000 (multiplicity 1)  2 H 2.07
3 H 0.5000 0.5000 0.5000 (multiplicity 1)  2 Zn 2.07, 4 Pd 2.11
4 Pd 0.0000 0.5000 0.5000 (multiplicity 2)  2 H 2.11

***

Record 2
NaPbSN2: optimized geometry, PBE.

Properties
Its polymorph energy (0 for the lowest one) is 0 meV per atom. As for the formation energy from raw total energies: 1.148 eV per atom. The value obtained for the density of states at the Fermi level is 1.5 states/eV per cell.

abc: 4.5066 4.5066 5.3899
angles: 90.00 90.00 90.00
Last column: nearest neighbours and their distance in Å.
Space group P4/mmm (No. 123)
Inequivalent atoms, fractional coordinates:
1 Na 0.0000 0.0000 0.0000 (multiplicity 1)  4 S 3.19, 8 N 3.51
2 Pb 0.5000 0.5000 0.5000 (multiplicity 1)  4 N 2.25
3 S 0.5000 0.5000 0.0000 (multiplicity 1)  2 Pb 2.69
4 N 0.0000 0.5000 0.5000 (multiplicity 2)  2 Pb 2.25